## SrIr2Pb (meta-GGA SCAN)

Data for SrIr2Pb at its PBEsol-relaxed geometry.

It has space group I-4m2 (No. 119), with a = 4.1271 Å, b = 4.1271 Å, c = 9.1776 Å, α = 90.00°, β = 90.00° and γ = 90.00°. The asymmetric unit holds Sr at (0.0000, 0.0000, 0.0000), Ir at (0.0000, 0.0000, 0.5000), Ir at (0.0000, 0.5000, 0.2500) and Pb at (0.0000, 0.5000, 0.7500).

As for the energy of formation: 10.352 kcal/mol of atoms.

---

## LiScO2 (meta-GGA SCAN)

Data for LiScO2 at its PBEsol-relaxed geometry.

It has space group Fm-3m (No. 225), with a = 5.1798 Å, b = 5.1798 Å, c = 5.1798 Å, α = 90.00°, β = 90.00° and γ = 90.00°. The asymmetric unit holds Li at (0.0000, 0.0000, 0.0000), Sc at (0.0000, 0.0000, 0.5000) and O at (0.2500, 0.2500, 0.2500).

As for the energy relative to the elements, uncorrected: -2.8071 eV per atom.

---

## NaPPdRh2 (meta-GGA SCAN)

Data for NaPPdRh2 at its PBEsol-relaxed geometry.

It has space group P4/mmm (No. 123), with a = 4.2633 Å, b = 4.2633 Å, c = 4.8212 Å, α = 90.00°, β = 90.00° and γ = 90.00°. The asymmetric unit holds Na at (0.0000, 0.0000, 0.0000), P at (0.0000, 0.0000, 0.5000), Pd at (0.5000, 0.5000, 0.0000) and Rh at (0.0000, 0.5000, 0.5000).

As for the energy of formation: 3.905 kcal/mol of atoms.

---

## NiPOs3 (meta-GGA SCAN)

Data for NiPOs3 at its PBEsol-relaxed geometry.

It has space group Pm-3m (No. 221), with a = 4.2699 Å, b = 4.2699 Å, c = 4.2699 Å, α = 90.00°, β = 90.00° and γ = 90.00°. The asymmetric unit holds Ni at (0.0000, 0.0000, 0.0000), P at (0.5000, 0.5000, 0.5000) and Os at (0.0000, 0.5000, 0.5000).

As for the energy of formation: 28.541 kcal/mol of atoms.

---

## TlCdIn (meta-GGA SCAN)

Data for TlCdIn at its PBEsol-relaxed geometry.

It has space group I4mm (No. 107), with a = 3.2937 Å, b = 3.2937 Å, c = 13.7572 Å, α = 90.00°, β = 90.00° and γ = 90.00°. The asymmetric unit holds Tl at (0.0000, 0.0000, 0.0000), Cd at (0.0000, 0.0000, 0.6671) and In at (0.0000, 0.0000, 0.3218).

As for the energy of formation: 1.638 kcal/mol of atoms.

---

## CdAg2Sb (meta-GGA SCAN)

Data for CdAg2Sb at its PBEsol-relaxed geometry.

It has space group I-4m2 (No. 119), with a = 4.2111 Å, b = 4.2111 Å, c = 8.8521 Å, α = 90.00°, β = 90.00° and γ = 90.00°. The asymmetric unit holds Cd at (0.0000, 0.0000, 0.0000), Ag at (0.0000, 0.0000, 0.5000), Ag at (0.0000, 0.5000, 0.7500) and Sb at (0.0000, 0.5000, 0.2500).

As for the energy relative to the elements, uncorrected: 0.0612 eV per atom. The calculation puts the energy relative to the lowest polymorph listed for this composition at 0.0018 eV/atom.

---

## NiRu2 (meta-GGA SCAN)

Data for NiRu2 at its PBEsol-relaxed geometry.

It has space group Cmcm (No. 63), with a = 2.6484 Å, b = 13.4615 Å, c = 4.1936 Å, α = 90.00°, β = 90.00° and γ = 90.00°. The asymmetric unit holds Ni at (0.0000, 0.2239, 0.2500), Ru at (0.0000, 0.1146, 0.7500) and Ru at (0.0000, 0.4434, 0.7500).

As for the energy of formation: 2.429 kcal/mol of atoms. The calculation puts the energy relative to the lowest polymorph listed for this composition at 0.0199 eV/atom.

---

## Li2HAu (meta-GGA SCAN)

Data for Li2HAu at its PBEsol-relaxed geometry.

It has space group I-42d (No. 122), with a = 5.5660 Å, b = 5.5660 Å, c = 6.4846 Å, α = 90.00°, β = 90.00° and γ = 90.00°. The asymmetric unit holds Li at (0.1239, 0.7500, 0.1250), H at (0.0000, 0.0000, 0.0000) and Au at (0.0000, 0.0000, 0.5000).

---

no.,spin magnetization (μB/f.u.),theoretical density (g/cm3),E (eV per atom)
1,0.000,14.43,-59.61
2,0.000,4.01,-10.08
3,0.661,6.94,-22.82
4,2.468,14.09,-47.20
5,0.000,9.60,-45.32
6,0.000,9.52,-32.54
7,0.000,11.59,-28.50
8,0.000,7.00,-19.74